[1]
The following is a PBE calculation of NaCaEuIr after structural relaxation, from the Alexandria database.

ρ   6.9 g/cm3
V   24.4 A^3/atom
Space-group type   F-43m, No. 216
Formation energy from the elements   -11.3 kJ/mol of atoms

Unit cell a=5.170 b=5.170 c=5.170 alpha=60.00 beta=60.00 gamma=60.00
Fractional positions:
Na (0.000, 0.000, 0.000)
Ca (0.750, 0.750, 0.750)
Eu (0.250, 0.250, 0.250)
Ir (0.500, 0.500, 0.500)

[2]
The following is a PBE calculation of BeHg2Te after structural relaxation, from the Alexandria database.

ρ   9.9 g/cm3
V   22.5 A^3/atom
Space-group type   Cmmm, No. 65
ΔE to the lowest computed polymorph   164 kJ/mol of formula units
ΔE_f (raw)   0.392 eV/atom

Unit cell a=3.230 b=3.230 c=8.865 alpha=90.00 beta=90.00 gamma=103.03
Fractional positions:
Be (0.000, 0.000, 0.000)
Hg (0.500, 0.500, 0.183)
Hg (0.500, 0.500, 0.817)
Te (0.000, 0.000, 0.500)

DOS at the Fermi energy
In order: 11.91, 1.91
Unit: states/eV/cell
E_tot
In order: -22.93, -5.90
Unit: eV per cell